[1]
Material: AlAs2Br
Method: DFT, PBE
State: relaxed

Cell and atoms, written as POSCAR:
```
AlAs2Br
1.0
-2.811 2.811 2.785
2.811 -2.811 2.785
2.811 2.811 -2.785
Al As Br
1 2 1
Direct
0.000 0.000 0.000
0.000 0.500 0.500
0.500 0.000 0.500
0.500 0.500 0.000
```

Computed properties:
- SG = I4/mmm
- raw formation energy (meV/atom) = 168
- offset from the most stable computed form (meV/atom) = 391
- raw total energy (eV/f.u.) = -14.04
- magnetic moment (μB/f.u.) = 0.00

=====

[2]
Material: KBaIr2
Method: DFT, PBE
State: relaxed

Cell and atoms, written as POSCAR:
```
KBaIr2
1.0
3.681 -2.193 0.000
3.681 2.193 0.000
-2.195 0.000 9.265
K Ba Ir
1 1 2
Direct
0.000 0.000 0.000
0.148 0.148 0.495
0.402 0.402 0.261
0.754 0.754 0.261
```

Computed properties:
- SG = Cm
- E_form (meV/atom) = 69
- offset from the most stable computed form (meV/atom) = 0
- raw total energy (eV/f.u.) = -20.47
- magnetic moment (μB/f.u.) = 0.00

=====

[3]
Material: Ac6Nd3Y2
Method: DFT, PBE
State: relaxed

Cell and atoms, written as POSCAR:
```
Ac6Nd3Y2
1.0
6.638 0.000 0.000
-2.201 8.274 0.000
-1.114 -2.923 7.988
Ac Nd Y
6 3 2
Direct
0.053 0.181 0.404
0.136 0.549 0.232
0.322 0.267 0.869
0.678 0.733 0.131
0.864 0.451 0.768
0.947 0.819 0.596
0.407 0.643 0.684
0.500 0.000 0.500
0.593 0.357 0.316
0.232 0.914 0.047
0.768 0.086 0.953
```

Computed properties:
- SG = P-1
- E_form (meV/atom) = 42
- raw total energy (eV/f.u.) = -51.42
- magnetic moment (μB/f.u.) = 0.00

=====

[4]
Material: TaSiRh
Method: DFT, PBE
State: relaxed

Cell and atoms, written as POSCAR:
```
TaSiRh
1.0
4.234 0.000 0.000
-2.117 3.667 0.000
0.000 0.000 2.872
Ta Si Rh
1 1 1
Direct
0.000 0.000 0.000
0.333 0.667 0.500
0.667 0.333 0.500
```

Computed properties:
- SG = P-6m2
- raw formation energy (meV/atom) = -687
- raw total energy (eV/f.u.) = -26.69
- magnetic moment (μB/f.u.) = 0.00